Entry from the Open Quantum Materials Database: a geometry-optimized TbHoPd2 structure (GGA-PBE).

Volume (Å³ per atom): 21.95
ΔH_f (0 K) (eV per atom): -0.924

a = 4.473 Å, b = 6.898 Å, c = 5.692 Å
α = 90.00°, β = 90.00°, γ = 90.00°
Element x y z (fractional)
1 Pd 0.000 0.788 0.655
2 Pd 0.500 0.212 0.155
3 Pd 0.500 0.703 0.345
4 Tb 0.500 0.069 0.641
5 Ho 0.000 0.431 0.359
6 Pd 0.000 0.297 0.845
7 Tb 0.000 0.931 0.141
8 Ho 0.500 0.569 0.859

---

Entry from the Open Quantum Materials Database: a geometry-optimized Y2Cu5Ni5 structure (GGA-PBE).

Volume (Å³ per atom): 14.11
ΔH_f (0 K) (eV per atom): -0.282

a = 4.032 Å, b = 4.932 Å, c = 8.514 Å
α = 90.00°, β = 90.00°, γ = 90.00°
Element x y z (fractional)
1 Ni 0.500 0.000 0.000
2 Cu 0.500 0.250 0.751
3 Ni 0.000 0.500 0.665
4 Y 0.000 0.500 0.000
5 Ni 0.000 0.000 0.162
6 Y 0.000 0.000 0.500
7 Ni 0.000 0.500 0.335
8 Cu 0.500 0.750 0.751
9 Cu 0.500 0.250 0.249
10 Cu 0.500 0.500 0.500
11 Ni 0.000 0.000 0.838
12 Cu 0.500 0.750 0.249

---

Entry from the Open Quantum Materials Database: a geometry-optimized PmNbN3 structure (GGA-PBE).

Volume (Å³ per atom): 13.86

a = 3.757 Å, b = 6.183 Å, c = 5.967 Å
α = 90.00°, β = 90.00°, γ = 90.00°
Site moments in Bohr magnetons follow the coordinates.
Element x y z (fractional)
1 Nb 0.500 0.317 0.967  -0.04
2 Pm 0.000 0.159 0.437  0.02
3 N 0.000 0.226 0.041  0.22
4 N 0.500 0.406 0.322  0.10
5 Pm 0.000 0.841 0.937  0.02
6 N 0.500 0.594 0.822  0.11
7 N 0.000 0.774 0.541  0.21
8 Nb 0.500 0.683 0.467  -0.04
9 N 0.500 0.086 0.732  0.22
10 N 0.500 0.914 0.232  0.25

---

Entry from the Open Quantum Materials Database: a geometry-optimized Hf2SiSnPt2 structure (GGA-PBE).

Volume (Å³ per atom): 20.22

a = 10.800 Å, b = 4.410 Å, c = 10.808 Å
α = 90.00°, β = 109.48°, γ = 90.00°
Element x y z (fractional)
1 Pt 0.252 0.000 0.739
2 Si 0.497 0.000 0.249
3 Pt 0.740 0.000 0.240
4 Hf 0.505 0.000 0.751
5 Sn 0.624 0.500 0.626
6 Si 0.126 0.500 0.128
7 Hf 0.371 0.500 0.372
8 Pt 0.372 0.500 0.130
9 Hf 0.881 0.500 0.885
10 Sn 0.375 0.500 0.875
11 Sn 0.873 0.500 0.372
12 Pt 0.874 0.500 0.625
13 Hf 0.744 0.000 0.494
14 Hf 0.251 0.000 0.006
15 Sn 0.002 0.000 0.752
16 Pt 0.130 0.500 0.372
17 Pt 0.490 0.000 0.491
18 Hf 0.128 0.500 0.618
19 Hf 0.002 0.000 0.251
20 Pt 0.004 0.000 0.011
21 Hf 0.620 0.500 0.124
22 Si 0.252 0.000 0.498
23 Si 0.751 0.000 0.003
24 Pt 0.636 0.500 0.885

---

Entry from the Open Quantum Materials Database: a geometry-optimized HfSbAsO structure (GGA-PBE).

Volume (Å³ per atom): 20.52

a = 3.594 Å, b = 6.789 Å, c = 6.727 Å
α = 90.00°, β = 90.00°, γ = 90.00°
Element x y z (fractional)
1 O 0.500 0.899 0.966
2 As 0.000 0.228 0.822
3 Hf 0.000 0.209 0.417
4 O 0.500 0.101 0.466
5 As 0.000 0.772 0.322
6 Hf 0.000 0.791 0.917
7 Sb 0.500 0.406 0.049
8 Sb 0.500 0.594 0.549

---

Entry from the Open Quantum Materials Database: a geometry-optimized NpAl structure (GGA-PBE).

Volume (Å³ per atom): 25.04

a = 4.819 Å, b = 4.819 Å, c = 4.980 Å
α = 90.00°, β = 90.00°, γ = 120.00°
Site moments in Bohr magnetons follow the coordinates.
Element x y z (fractional)
1 Np 0.333 0.667 0.750  3.99
2 Al 0.000 0.000 0.500  -0.01
3 Al 0.000 0.000 0.000  0.00
4 Np 0.667 0.333 0.250  3.99

---

Let's list raw total energy in order: -5.8134; -5.2277; -8.8089; -7.8921; -6.9562; -7.7004 eV per atom.